Entry 1:
## LaMnZnS2 (PBEsol)

Data for LaMnZnS2 after structural relaxation.

Cell: 4.574 4.574 4.498 Å, 90.00 90.00 90.00°
Atoms (fractional coordinates):
La 0.000 0.000 0.000
Mn 0.500 0.500 0.500
Zn 0.500 0.500 0.000
S 0.000 0.500 0.500
S 0.500 0.000 0.500

Properties
Crystal system: tetragonal
VASP energy in eV/atom: -5.8381
Space-group type: P4/mmm

Entry 2:
## LaMnSb (PBEsol)

Data for LaMnSb after structural relaxation.

Cell: 6.144 6.144 6.144 Å, 146.84 146.84 47.60°
Atoms (fractional coordinates):
La 0.000 0.000 0.000
Mn 0.312 0.312 0.000
Sb 0.711 0.711 0.000

Properties
Crystal system: tetragonal
VASP energy in eV/atom: -6.6948
Space-group type: I4mm

Entry 3:
## LaMnSb2 (PBEsol)

Data for LaMnSb2 after structural relaxation.

Cell: 4.763 4.763 4.320 Å, 90.00 90.00 90.00°
Atoms (fractional coordinates):
La 0.000 0.000 0.000
Mn 0.500 0.500 0.000
Sb 0.000 0.500 0.500
Sb 0.500 0.000 0.500

Properties
Crystal system: tetragonal
VASP energy in eV/atom: -6.3593
Space-group type: P4/mmm

- Look up the VASP energy of the second one.
  -6.6948 eV/atom

Please write out number 2 again, unchanged.
## LaMnSb (PBEsol)

Data for LaMnSb after structural relaxation.

Cell: 6.144 6.144 6.144 Å, 146.84 146.84 47.60°
Atoms (fractional coordinates):
La 0.000 0.000 0.000
Mn 0.312 0.312 0.000
Sb 0.711 0.711 0.000

Properties
Crystal system: tetragonal
VASP energy in eV/atom: -6.6948
Space-group type: I4mm

- Among the records above, which one has the highest VASP energy?
  LaMnZnS2

What did the second record say?
## LaMnSb (PBEsol)

Data for LaMnSb after structural relaxation.

Cell: 6.144 6.144 6.144 Å, 146.84 146.84 47.60°
Atoms (fractional coordinates):
La 0.000 0.000 0.000
Mn 0.312 0.312 0.000
Sb 0.711 0.711 0.000

Properties
Crystal system: tetragonal
VASP energy in eV/atom: -6.6948
Space-group type: I4mm